Entry 1:
DFT (PBE) results for an optimized crystal structure of InP3.

Uncorrected energy, eV per atom: -4.635
Crystal system: monoclinic
DOS(E_F), states/eV/f.u.: 1.3
Energy of formation, eV/atom: 0.107
V, Å³ per cell: 76.51

Cell and atoms, written as CIF:
```
data_InP3
_cell_length_a 4.547
_cell_length_b 3.626
_cell_length_c 4.891
_cell_angle_alpha 90.00
_cell_angle_beta 108.40
_cell_angle_gamma 90.00
_symmetry_space_group_name_H-M 'P 1'
_symmetry_Int_Tables_number 1
loop_
_symmetry_equiv_pos_as_xyz
'x,y,z'
loop_
_atom_site_label
_atom_site_type_symbol
_atom_site_fract_x
_atom_site_fract_y
_atom_site_fract_z
In1 In 0.000 0.000 0.000
P1 P 0.222 0.500 0.671
P2 P 0.500 0.000 0.500
P3 P 0.778 0.500 0.329
```

Entry 2:
DFT (PBE) results for an optimized crystal structure of Sr4Pa3InP8.

Uncorrected energy, eV per atom: -6.113
Crystal system: trigonal
DOS(E_F), states/eV/f.u.: 10.3
Energy of formation, eV/atom: -1.036
V, Å³ per cell: 411.00

Cell and atoms, written as CIF:
```
data_Sr4Pa3InP8
_cell_length_a 8.370
_cell_length_b 8.370
_cell_length_c 8.370
_cell_angle_alpha 59.61
_cell_angle_beta 59.61
_cell_angle_gamma 59.61
_symmetry_space_group_name_H-M 'P 1'
_symmetry_Int_Tables_number 1
loop_
_symmetry_equiv_pos_as_xyz
'x,y,z'
loop_
_atom_site_label
_atom_site_type_symbol
_atom_site_fract_x
_atom_site_fract_y
_atom_site_fract_z
Sr1 Sr 0.000 0.000 0.000
Sr2 Sr 0.000 0.500 0.500
Sr3 Sr 0.500 0.000 0.500
Sr4 Sr 0.500 0.500 0.000
Pa1 Pa 0.000 0.000 0.500
Pa2 Pa 0.000 0.500 0.000
Pa3 Pa 0.500 0.000 0.000
In1 In 0.500 0.500 0.500
P1 P 0.226 0.743 0.743
P2 P 0.238 0.238 0.238
P3 P 0.257 0.257 0.774
P4 P 0.257 0.774 0.257
P5 P 0.743 0.226 0.743
P6 P 0.743 0.743 0.226
P7 P 0.762 0.762 0.762
P8 P 0.774 0.257 0.257
```

Entry 3:
DFT (PBE) results for an optimized crystal structure of InPPb2.

Uncorrected energy, eV per atom: -3.798
Crystal system: monoclinic
DOS(E_F), states/eV/f.u.: 1.5
Energy of formation, eV/atom: 0.094
Energy relative to the lowest polymorph listed for this composition, kJ/mol of formula units: 19
V, Å³ per cell: 220.26

Cell and atoms, written as CIF:
```
data_InPPb2
_cell_length_a 11.393
_cell_length_b 3.743
_cell_length_c 5.885
_cell_angle_alpha 90.00
_cell_angle_beta 118.65
_cell_angle_gamma 90.00
_symmetry_space_group_name_H-M 'P 1'
_symmetry_Int_Tables_number 1
loop_
_symmetry_equiv_pos_as_xyz
'x,y,z'
loop_
_atom_site_label
_atom_site_type_symbol
_atom_site_fract_x
_atom_site_fract_y
_atom_site_fract_z
In1 In 0.000 0.000 0.000
In2 In 0.500 0.500 0.000
P1 P 0.322 0.000 0.655
P2 P 0.822 0.500 0.655
Pb1 Pb 0.109 0.500 0.583
Pb2 Pb 0.291 0.500 0.252
Pb3 Pb 0.609 0.000 0.583
Pb4 Pb 0.791 0.000 0.252
```

Entry 4:
DFT (PBE) results for an optimized crystal structure of In2PPb.

Uncorrected energy, eV per atom: -3.594
Crystal system: monoclinic
DOS(E_F), states/eV/f.u.: 2.2
Energy of formation, eV/atom: 0.054
Energy relative to the lowest polymorph listed for this composition, kJ/mol of formula units: 20
V, Å³ per cell: 107.25

Cell and atoms, written as CIF:
```
data_In2PPb
_cell_length_a 5.394
_cell_length_b 3.905
_cell_length_c 5.572
_cell_angle_alpha 90.00
_cell_angle_beta 113.98
_cell_angle_gamma 90.00
_symmetry_space_group_name_H-M 'P 1'
_symmetry_Int_Tables_number 1
loop_
_symmetry_equiv_pos_as_xyz
'x,y,z'
loop_
_atom_site_label
_atom_site_type_symbol
_atom_site_fract_x
_atom_site_fract_y
_atom_site_fract_z
In1 In 0.202 0.000 0.295
In2 In 0.798 0.000 0.705
P1 P 0.000 0.500 0.500
Pb1 Pb 0.500 0.500 0.000
```

Entry 5:
DFT (PBE) results for an optimized crystal structure of InPPb2.

Uncorrected energy, eV per atom: -3.789
Crystal system: trigonal
DOS(E_F), states/eV/f.u.: 2.3
Energy of formation, eV/atom: 0.102
Energy relative to the lowest polymorph listed for this composition, kJ/mol of formula units: 22
V, Å³ per cell: 344.68

Cell and atoms, written as CIF:
```
data_InPPb2
_cell_length_a 4.011
_cell_length_b 4.011
_cell_length_c 24.734
_cell_angle_alpha 90.00
_cell_angle_beta 90.00
_cell_angle_gamma 120.00
_symmetry_space_group_name_H-M 'P 1'
_symmetry_Int_Tables_number 1
loop_
_symmetry_equiv_pos_as_xyz
'x,y,z'
loop_
_atom_site_label
_atom_site_type_symbol
_atom_site_fract_x
_atom_site_fract_y
_atom_site_fract_z
In1 In 0.000 0.000 0.000
In2 In 0.333 0.667 0.667
In3 In 0.667 0.333 0.333
P1 P 0.000 0.000 0.500
P2 P 0.333 0.667 0.167
P3 P 0.667 0.333 0.833
Pb1 Pb 0.000 0.000 0.234
Pb2 Pb 0.000 0.000 0.766
Pb3 Pb 0.333 0.667 0.432
Pb4 Pb 0.333 0.667 0.901
Pb5 Pb 0.667 0.333 0.099
Pb6 Pb 0.667 0.333 0.568
```

Entry 6:
DFT (PBE) results for an optimized crystal structure of InP2Pb2.

Uncorrected energy, eV per atom: -3.865
Crystal system: tetragonal
DOS(E_F), states/eV/f.u.: 2.8
Energy of formation, eV/atom: 0.330
Energy relative to the lowest polymorph listed for this composition, kJ/mol of formula units: 72
V, Å³ per cell: 281.95

Cell and atoms, written as CIF:
```
data_InP2Pb2
_cell_length_a 5.278
_cell_length_b 5.278
_cell_length_c 10.120
_cell_angle_alpha 90.00
_cell_angle_beta 90.00
_cell_angle_gamma 90.00
_symmetry_space_group_name_H-M 'P 1'
_symmetry_Int_Tables_number 1
loop_
_symmetry_equiv_pos_as_xyz
'x,y,z'
loop_
_atom_site_label
_atom_site_type_symbol
_atom_site_fract_x
_atom_site_fract_y
_atom_site_fract_z
In1 In 0.000 0.000 0.000
In2 In 0.500 0.500 0.500
P1 P 0.000 0.500 0.250
P2 P 0.000 0.500 0.750
P3 P 0.500 0.000 0.250
P4 P 0.500 0.000 0.750
Pb1 Pb 0.000 0.000 0.344
Pb2 Pb 0.000 0.000 0.656
Pb3 Pb 0.500 0.500 0.156
Pb4 Pb 0.500 0.500 0.844
```

Entry 7:
DFT (PBE) results for an optimized crystal structure of InP2Pb.

Uncorrected energy, eV per atom: -4.231
Crystal system: tetragonal
DOS(E_F), states/eV/f.u.: 2.2
Energy of formation, eV/atom: 0.086
Energy relative to the lowest polymorph listed for this composition, kJ/mol of formula units: 3
V, Å³ per cell: 474.67

Cell and atoms, written as CIF:
```
data_InP2Pb
_cell_length_a 6.190
_cell_length_b 6.190
_cell_length_c 12.387
_cell_angle_alpha 90.00
_cell_angle_beta 90.00
_cell_angle_gamma 90.00
_symmetry_space_group_name_H-M 'P 1'
_symmetry_Int_Tables_number 1
loop_
_symmetry_equiv_pos_as_xyz
'x,y,z'
loop_
_atom_site_label
_atom_site_type_symbol
_atom_site_fract_x
_atom_site_fract_y
_atom_site_fract_z
In1 In 0.000 0.000 0.000
In2 In 0.000 0.500 0.250
In3 In 0.500 0.000 0.750
In4 In 0.500 0.500 0.500
P1 P 0.226 0.250 0.125
P2 P 0.250 0.726 0.375
P3 P 0.250 0.774 0.875
P4 P 0.274 0.250 0.625
P5 P 0.726 0.750 0.625
P6 P 0.750 0.226 0.875
P7 P 0.750 0.274 0.375
P8 P 0.774 0.750 0.125
Pb1 Pb 0.000 0.000 0.500
Pb2 Pb 0.000 0.500 0.750
Pb3 Pb 0.500 0.000 0.250
Pb4 Pb 0.500 0.500 0.000
```

Entry 8:
DFT (PBE) results for an optimized crystal structure of InPPb2.

Uncorrected energy, eV per atom: -3.846
Crystal system: trigonal
DOS(E_F), states/eV/f.u.: 1.5
Energy of formation, eV/atom: 0.045
Energy relative to the lowest polymorph listed for this composition, kJ/mol of formula units: 0
V, Å³ per cell: 334.33

Cell and atoms, written as CIF:
```
data_InPPb2
_cell_length_a 3.955
_cell_length_b 3.955
_cell_length_c 24.675
_cell_angle_alpha 90.00
_cell_angle_beta 90.00
_cell_angle_gamma 120.00
_symmetry_space_group_name_H-M 'P 1'
_symmetry_Int_Tables_number 1
loop_
_symmetry_equiv_pos_as_xyz
'x,y,z'
loop_
_atom_site_label
_atom_site_type_symbol
_atom_site_fract_x
_atom_site_fract_y
_atom_site_fract_z
In1 In 0.000 0.000 0.000
In2 In 0.333 0.667 0.667
In3 In 0.667 0.333 0.333
P1 P 0.000 0.000 0.724
P2 P 0.333 0.667 0.391
P3 P 0.667 0.333 0.057
Pb1 Pb 0.000 0.000 0.238
Pb2 Pb 0.000 0.000 0.464
Pb3 Pb 0.333 0.667 0.130
Pb4 Pb 0.333 0.667 0.905
Pb5 Pb 0.667 0.333 0.572
Pb6 Pb 0.667 0.333 0.797
```

Entry 9:
DFT (PBE) results for an optimized crystal structure of InPPb2.

Uncorrected energy, eV per atom: -3.646
Crystal system: tetragonal
DOS(E_F), states/eV/f.u.: 2.0
Energy of formation, eV/atom: 0.245
Energy relative to the lowest polymorph listed for this composition, kJ/mol of formula units: 77
V, Å³ per cell: 212.77

Cell and atoms, written as CIF:
```
data_InPPb2
_cell_length_a 4.814
_cell_length_b 4.814
_cell_length_c 9.180
_cell_angle_alpha 90.00
_cell_angle_beta 90.00
_cell_angle_gamma 90.00
_symmetry_space_group_name_H-M 'P 1'
_symmetry_Int_Tables_number 1
loop_
_symmetry_equiv_pos_as_xyz
'x,y,z'
loop_
_atom_site_label
_atom_site_type_symbol
_atom_site_fract_x
_atom_site_fract_y
_atom_site_fract_z
In1 In 0.000 0.000 0.000
In2 In 0.500 0.500 0.500
P1 P 0.000 0.000 0.500
P2 P 0.500 0.500 0.000
Pb1 Pb 0.000 0.500 0.250
Pb2 Pb 0.000 0.500 0.750
Pb3 Pb 0.500 0.000 0.250
Pb4 Pb 0.500 0.000 0.750
```

Entry 10:
DFT (PBE) results for an optimized crystal structure of InPPb2.

Uncorrected energy, eV per atom: -3.737
Crystal system: monoclinic
DOS(E_F), states/eV/f.u.: 2.0
Energy of formation, eV/atom: 0.155
Energy relative to the lowest polymorph listed for this composition, kJ/mol of formula units: 42
V, Å³ per cell: 220.56

Cell and atoms, written as CIF:
```
data_InPPb2
_cell_length_a 12.465
_cell_length_b 3.825
_cell_length_c 5.053
_cell_angle_alpha 90.00
_cell_angle_beta 113.74
_cell_angle_gamma 90.00
_symmetry_space_group_name_H-M 'P 1'
_symmetry_Int_Tables_number 1
loop_
_symmetry_equiv_pos_as_xyz
'x,y,z'
loop_
_atom_site_label
_atom_site_type_symbol
_atom_site_fract_x
_atom_site_fract_y
_atom_site_fract_z
In1 In 0.000 0.000 0.000
In2 In 0.500 0.500 0.000
P1 P 0.000 0.500 0.500
P2 P 0.500 0.000 0.500
Pb1 Pb 0.193 0.000 0.693
Pb2 Pb 0.307 0.500 0.307
Pb3 Pb 0.693 0.500 0.693
Pb4 Pb 0.807 0.000 0.307
```

Entry 11:
DFT (PBE) results for an optimized crystal structure of In2PPb.

Uncorrected energy, eV per atom: -3.504
Crystal system: tetragonal
DOS(E_F), states/eV/f.u.: 2.0
Energy of formation, eV/atom: 0.145
Energy relative to the lowest polymorph listed for this composition, kJ/mol of formula units: 54
V, Å³ per cell: 99.69

Cell and atoms, written as CIF:
```
data_In2PPb
_cell_length_a 3.583
_cell_length_b 3.583
_cell_length_c 7.766
_cell_angle_alpha 90.00
_cell_angle_beta 90.00
_cell_angle_gamma 90.00
_symmetry_space_group_name_H-M 'P 1'
_symmetry_Int_Tables_number 1
loop_
_symmetry_equiv_pos_as_xyz
'x,y,z'
loop_
_atom_site_label
_atom_site_type_symbol
_atom_site_fract_x
_atom_site_fract_y
_atom_site_fract_z
In1 In 0.000 0.000 0.200
In2 In 0.000 0.000 0.800
P1 P 0.500 0.500 0.000
Pb1 Pb 0.500 0.500 0.500
```

Entry 12:
DFT (PBE) results for an optimized crystal structure of InPPb2.

Uncorrected energy, eV per atom: -3.791
Crystal system: monoclinic
DOS(E_F), states/eV/f.u.: 1.5
Energy of formation, eV/atom: 0.100
Energy relative to the lowest polymorph listed for this composition, kJ/mol of formula units: 21
V, Å³ per cell: 108.79

Cell and atoms, written as CIF:
```
data_InPPb2
_cell_length_a 3.750
_cell_length_b 3.762
_cell_length_c 7.908
_cell_angle_alpha 90.00
_cell_angle_beta 102.80
_cell_angle_gamma 90.00
_symmetry_space_group_name_H-M 'P 1'
_symmetry_Int_Tables_number 1
loop_
_symmetry_equiv_pos_as_xyz
'x,y,z'
loop_
_atom_site_label
_atom_site_type_symbol
_atom_site_fract_x
_atom_site_fract_y
_atom_site_fract_z
In1 In 0.000 0.000 0.000
P1 P 0.556 0.500 0.117
Pb1 Pb 0.348 0.500 0.713
Pb2 Pb 0.697 0.000 0.404
```